## K2CrPCO7 (GGA+U)

Data for a relaxed structure of K2CrPCO7.

N(E_F) = 0.00 states/eV/f.u.
space-group type = P2_1/m (11)
volume = 15.19 Å³/atom
final energy = -6.91 eV per atom

Unit cell a=5.5739 b=6.6945 c=9.7695 alpha=90.00 beta=91.29 gamma=90.00
With the nearest neighbours (Å) after each atom.
Fractional positions:
K1 0.2484 0.0257 0.2614  5 O 2.53-2.81
K2 0.2484 0.4743 0.2614  5 O 2.53-2.81
K3 0.7516 0.5257 0.7386  5 O 2.53-2.81
K4 0.7516 0.9743 0.7386  5 O 2.53-2.81
Cr1 0.2225 0.2500 0.8600  6 O 2.02-2.09
Cr2 0.7775 0.7500 0.1400  6 O 2.02-2.09
P1 0.2755 0.7500 0.9339  4 O 1.55-1.57
P2 0.7245 0.2500 0.0661  4 O 1.55-1.57
C1 0.2655 0.2500 0.6087  3 O 1.24-1.33
C2 0.7345 0.7500 0.3913  3 O 1.24-1.33
O1 0.0574 0.2500 0.6705  1 C 1.32
O2 0.1156 0.7500 0.0622  1 P 1.55
O3 0.2227 0.5610 0.8451  1 P 1.56
O4 0.2227 0.9390 0.8451  1 P 1.56
O5 0.2913 0.2500 0.4825  1 C 1.24
O6 0.4465 0.2500 0.6995  1 C 1.33
O7 0.4517 0.2500 0.0234  1 P 1.57
O8 0.5483 0.7500 0.9766  1 P 1.57
O9 0.5535 0.7500 0.3005  1 C 1.33
O10 0.7087 0.7500 0.5175  1 C 1.24
O11 0.7773 0.0610 0.1549  1 P 1.56
O12 0.7773 0.4390 0.1549  1 P 1.56
O13 0.8844 0.2500 0.9378  1 P 1.55
O14 0.9426 0.7500 0.3295  1 C 1.32